[1]
# K2YCl (PBE, relaxed)
# Magnetic moment = 0.78 μB/f.u.
# Formation energy without anion corrections = -28 kJ per mole of atoms
data_K2YCl
_chemical_formula_sum 'K8 Y4 Cl4'
_cell_length_a 11.865
_cell_length_b 11.865
_cell_length_c 5.358
_cell_angle_alpha 90.00
_cell_angle_beta 90.00
_cell_angle_gamma 90.00
_space_group_name_H-M_alt 'I -4 2 d'
_space_group_IT_number 122
_space_group_name_Hall 'I -4 2bw'
loop_
_atom_site_label
_atom_site_type_symbol
_atom_site_fract_x
_atom_site_fract_y
_atom_site_fract_z
K1 K 0.125 0.750 0.125
Y1 Y 0.000 0.000 0.500
Cl1 Cl 0.000 0.000 0.000

=====

[2]
# K2YCl (PBE, relaxed)
# Magnetic moment = 2.00 μB/f.u.
# Formation energy without anion corrections = 12 kJ per mole of atoms
data_K2YCl
_chemical_formula_sum 'K8 Y4 Cl4'
_cell_length_a 9.069
_cell_length_b 9.069
_cell_length_c 9.069
_cell_angle_alpha 90.00
_cell_angle_beta 90.00
_cell_angle_gamma 90.00
_space_group_name_H-M_alt 'F m -3 m'
_space_group_IT_number 225
_space_group_name_Hall '-F 4 2 3'
loop_
_atom_site_label
_atom_site_type_symbol
_atom_site_fract_x
_atom_site_fract_y
_atom_site_fract_z
K1 K 0.250 0.250 0.250
Y1 Y 0.000 0.000 0.000
Cl1 Cl 0.000 0.000 0.500

=====

[3]
# K2YCl2 (PBE, relaxed)
# Magnetic moment = 1.03 μB/f.u.
# Formation energy without anion corrections = -92 kJ per mole of atoms
data_K2YCl2
_chemical_formula_sum 'K4 Y2 Cl4'
_cell_length_a 8.380
_cell_length_b 8.380
_cell_length_c 4.359
_cell_angle_alpha 90.00
_cell_angle_beta 90.00
_cell_angle_gamma 90.00
_space_group_name_H-M_alt 'P 4/m b m'
_space_group_IT_number 127
_space_group_name_Hall '-P 4 2ab'
loop_
_atom_site_label
_atom_site_type_symbol
_atom_site_fract_x
_atom_site_fract_y
_atom_site_fract_z
K1 K 0.145 0.355 0.000
Y1 Y 0.000 0.000 0.500
Cl1 Cl 0.167 0.667 0.500